# 1
# Ho2TeH

An optimized crystal structure of Ho2TeH (PBE, Alexandria via LeMat-Bulk).

The structure in POSCAR format:
```
Ho2TeH
1.0
7.995 0.000 0.000
0.000 6.287 0.000
-1.470 0.000 7.093
Ho Te H
8 4 4
Cartesian
-0.004 0.899 2.216
-0.739 2.244 5.762
1.694 4.158 3.755
2.429 5.272 0.209
4.096 1.015 6.884
4.831 2.128 3.338
7.264 4.043 1.330
6.529 5.388 4.877
1.792 0.809 4.788
2.527 2.334 1.242
3.998 3.953 5.851
4.733 5.477 2.305
-0.888 4.231 6.668
-0.153 5.200 3.121
6.677 1.087 3.971
7.412 2.056 0.425
```

Summary:
As for the space group: P2_1/c (14). The calculation puts the energy above the most stable polymorph in this dataset at 0 meV per atom.



# 2
# Ti5Te2

An optimized crystal structure of Ti5Te2 (PBE, Alexandria via LeMat-Bulk).

The structure in POSCAR format:
```
Ti5Te2
1.0
6.668 -2.664 0.000
6.668 2.664 0.000
-0.578 0.000 7.443
Ti Te
10 4
Cartesian
2.734 0.582 2.299
6.234 1.665 5.582
4.998 0.953 0.305
2.445 -0.582 6.020
8.049 0.953 3.417
4.709 -0.953 4.026
10.313 0.582 1.423
7.760 -0.953 7.138
6.523 -1.665 1.861
10.023 -0.582 5.145
5.165 1.598 3.070
7.882 1.598 0.651
4.876 -1.598 6.792
7.593 -1.598 4.373
```

Summary:
The calculation puts the formation energy from raw total energies at -0.258 eV/atom. As for the space group: C2/c (15).